A geometry-optimized Pr2Fe2SnRh5 structure, computed with PBE.

Results
Energy of formation from the pure elements (kJ/mol of formula units): -362
Raw total energy (eV/atom): -7.100
Symmetry: No. 127

a b c (Å): 9.735 9.735 3.791
angles (deg): 90.00 90.00 90.00
Fractional positions:
1 Pr 0.180 0.320 0.000
2 Pr 0.320 0.820 0.000
3 Pr 0.680 0.180 0.000
4 Pr 0.820 0.680 0.000
5 Fe 0.117 0.617 0.000
6 Fe 0.383 0.117 0.000
7 Fe 0.617 0.883 0.000
8 Fe 0.883 0.383 0.000
9 Sn 0.000 0.000 0.000
10 Sn 0.500 0.500 0.000
11 Rh 0.000 0.500 0.500
12 Rh 0.065 0.786 0.500
13 Rh 0.214 0.065 0.500
14 Rh 0.286 0.565 0.500
15 Rh 0.435 0.286 0.500
16 Rh 0.500 0.000 0.500
17 Rh 0.565 0.714 0.500
18 Rh 0.714 0.435 0.500
19 Rh 0.786 0.935 0.500
20 Rh 0.935 0.214 0.500